*one*
! PBE MgSc2Sb, optimized geometry; values from VASP
&SYSTEM
  ibrav = 0, nat = 4, ntyp = 3
/
ATOMIC_SPECIES
Mg 24.30 Mg.upf
Sb 121.76 Sb.upf
Sc 44.96 Sc.upf
ATOMIC_POSITIONS angstrom
Mg 0.8561 -1.3561 2.7058
Sb -1.8032 0.3067 2.5591
Sc 0.0000 0.0000 0.0000
Sc 3.6281 0.1246 2.8370
CELL_PARAMETERS angstrom
-4.5752 -1.1740 2.4279
6.2874 -1.5382 2.9838
0.9687 1.7874 2.6903
! - D(E_F): 3.433 states/eV per cell
! - Symmetry: Cmmm (65)
! - Spin magnetization: 0.70 μB/cell



*two*
! PBE MgSc2Sb, optimized geometry; values from VASP
&SYSTEM
  ibrav = 0, nat = 4, ntyp = 3
/
ATOMIC_SPECIES
Mg 24.30 Mg.upf
Sb 121.76 Sb.upf
Sc 44.96 Sc.upf
ATOMIC_POSITIONS angstrom
Mg -0.3009 -1.9596 2.2371
Sb -0.5782 -5.1532 1.6676
Sc -0.6064 -3.9493 4.5086
Sc -0.2638 -3.1050 -0.6707
CELL_PARAMETERS angstrom
-2.8702 -1.8173 -1.9779
2.6567 -2.3471 -1.6987
-0.6143 -4.0010 4.5676
! - D(E_F): 3.794 states/eV per cell
! - Symmetry: P4mm (99)
! - Spin magnetization: 0.00 μB/cell



*three*
! PBE MgSc2Sb, optimized geometry; values from VASP
&SYSTEM
  ibrav = 0, nat = 8, ntyp = 3
/
ATOMIC_SPECIES
Sc 44.96 Sc.upf
Sb 121.76 Sb.upf
Mg 24.30 Mg.upf
ATOMIC_POSITIONS angstrom
Sc -0.4461 -1.3659 6.3237
Sc 3.6389 -4.0916 3.1884
Sc 3.1310 -3.2199 7.4862
Sc 4.3367 -6.6498 12.0390
Sb 0.0000 0.0000 0.0000
Sb 0.6664 -2.4613 8.7165
Mg 1.0553 -3.2515 4.5055
Mg 4.6638 -5.2023 5.8021
CELL_PARAMETERS angstrom
-2.9421 -0.5106 7.4199
5.0528 -5.9925 1.5912
3.2196 -1.1606 5.5076
! - D(E_F): 8.039 states/eV per cell
! - Symmetry: I-42d (122)
! - Spin magnetization: 0.13 μB/cell



*four*
! PBE MgSc2Sb, optimized geometry; values from VASP
&SYSTEM
  ibrav = 0, nat = 4, ntyp = 3
/
ATOMIC_SPECIES
Mg 24.30 Mg.upf
Sb 121.76 Sb.upf
Sc 44.96 Sc.upf
ATOMIC_POSITIONS angstrom
Mg 1.9049 1.8999 1.5730
Sb 1.9049 5.6997 4.7191
Sc 0.0000 3.7929 6.2313
Sc 0.0000 3.8009 3.2002
CELL_PARAMETERS angstrom
3.8097 0.0000 0.0000
0.0000 3.8055 0.0067
0.0000 3.7941 6.2854
! - D(E_F): 1.975 states/eV per cell
! - Symmetry: P4/mmm (123)
! - Spin magnetization: 0.80 μB/cell



Which structure loses on stability? *three* does.